Ho2TeO2 | the Alexandria database | GGA-PBEsol | optimized geometry; ρ = 8.97 g/cm³; formation energy without anion corrections = -2.950 eV per atom; space-group type = No. 164
1.0
-3.246 -1.721 1.099
3.017 0.095 2.366
-2.332 6.139 2.727
Te Ho O
1 2 2
direct
0.000 0.000 0.000 Te
0.667 0.333 0.695 Ho
0.333 0.667 0.305 Ho
0.667 0.333 0.380 O
0.333 0.667 0.620 O

=====

ZrGe2Os | the Alexandria database | GGA-PBEsol | optimized geometry; calculated total energy = -31.80 eV per cell; ρ = 11.18 g/cm³; space-group type = No. 225
1.0
4.476 0.000 0.000
2.238 3.876 0.000
2.238 1.292 3.655
Ge Os Zr
2 1 1
direct
0.250 0.250 0.250 Ge
0.750 0.750 0.750 Ge
0.500 0.500 0.500 Os
0.000 0.000 0.000 Zr

=====

YRu2Se | the Alexandria database | GGA-PBEsol | optimized geometry; ρ = 8.49 g/cm³; formation energy without anion corrections = -0.180 eV per atom; space-group type = No. 6
1.0
3.483 0.000 -0.012
0.000 3.810 0.000
-1.699 0.000 5.462
Ru Se Y
2 1 1
direct
0.034 0.000 0.083 Ru
0.717 0.500 0.201 Ru
0.554 0.000 0.480 Se
0.195 0.500 0.736 Y

=====

Tm2IrOs | the Alexandria database | GGA-PBEsol | optimized geometry; calculated total energy = -33.99 eV per cell; ρ = 16.37 g/cm³; space-group type = No. 225
1.0
-0.972 -4.480 1.003
0.809 -3.347 -3.188
3.489 -3.069 0.653
Tm Ir Os
2 1 1
direct
0.250 0.250 0.250 Tm
0.750 0.750 0.750 Tm
0.500 0.500 0.500 Ir
0.000 0.000 0.000 Os

=====

GaAsOs2 | the Alexandria database | GGA-PBEsol | optimized geometry; calculated total energy = -32.21 eV per cell; ρ = 15.72 g/cm³; space-group type = No. 225
1.0
4.281 0.000 0.000
2.140 3.707 0.000
2.140 1.236 3.495
As Os Ga
1 2 1
direct
0.500 0.500 0.500 As
0.250 0.250 0.250 Os
0.750 0.750 0.750 Os
0.000 0.000 0.000 Ga

=====

Sc2ZnH2 | the Alexandria database | GGA-PBEsol | optimized geometry; calculated total energy = -24.41 eV per cell; ρ = 4.23 g/cm³; space-group type = No. 139
1.0
3.360 0.000 0.000
0.000 3.360 0.000
-1.680 -1.680 5.472
Sc H Zn
2 2 1
direct
0.351 0.351 0.702 Sc
0.649 0.649 0.298 Sc
0.250 0.750 0.500 H
0.750 0.250 0.500 H
0.000 0.000 0.000 Zn

=====

Sb2Au | the Alexandria database | GGA-PBEsol | optimized geometry; ρ = 9.89 g/cm³; formation energy without anion corrections = 0.011 eV per atom; space-group type = No. 194
1.0
-2.683 1.820 -2.297
2.141 -3.015 -1.453
-7.579 -6.982 3.321
Sb Au
4 2
direct
0.333 0.667 0.601 Sb
0.667 0.333 0.101 Sb
0.667 0.333 0.399 Sb
0.333 0.667 0.899 Sb
0.000 0.000 0.750 Au
0.000 0.000 0.250 Au

=====

SrCaCo4 | the Alexandria database | GGA-PBEsol | optimized geometry; calculated total energy = -33.25 eV per cell; ρ = 6.47 g/cm³; space-group type = No. 216
1.0
-3.258 -3.472 1.804
-0.907 -4.256 -2.644
1.733 -4.474 1.705
Ca Co Sr
1 4 1
direct
0.000 0.000 0.000 Ca
0.374 0.374 0.374 Co
0.374 0.374 0.877 Co
0.877 0.374 0.374 Co
0.374 0.877 0.374 Co
0.750 0.750 0.750 Sr

=====

MoW5 | the Alexandria database | GGA-PBEsol | optimized geometry; calculated total energy = -80.79 eV per cell; ρ = 17.99 g/cm³; space-group type = No. 12
1.0
3.152 0.000 0.000
-1.576 4.972 -0.008
0.000 -1.996 5.981
Mo W
1 5
direct
0.500 0.000 0.500 Mo
0.166 0.333 0.334 W
0.833 0.667 0.167 W
0.500 0.000 0.000 W
0.167 0.333 0.833 W
0.834 0.667 0.666 W

=====

Rb2ZrSbC | the Alexandria database | GGA-PBEsol | optimized geometry; ρ = 3.44 g/cm³; formation energy without anion corrections = 1.056 eV per atom; space-group type = No. 123
1.0
-0.035 -3.815 0.876
6.050 -0.833 -3.388
3.489 1.324 5.904
Sb C Rb Zr
1 1 2 1
direct
0.500 0.500 0.500 Sb
0.500 0.000 0.000 C
0.000 0.000 0.500 Rb
0.000 0.500 0.000 Rb
0.000 0.000 0.000 Zr

=====

Ta3GeO | the Alexandria database | GGA-PBEsol | optimized geometry; ρ = 14.37 g/cm³; formation energy without anion corrections = -0.572 eV per atom; space-group type = No. 221
1.0
-2.410 -2.527 2.295
-0.087 -2.763 -3.133
3.412 -1.855 1.541
Ge O Ta
1 1 3
direct
0.500 0.500 0.500 Ge
0.000 0.000 0.000 O
0.000 0.500 0.000 Ta
0.000 0.000 0.500 Ta
0.500 0.000 0.000 Ta

=====

NaTeMoI2 | the Alexandria database | GGA-PBEsol | optimized geometry; ρ = 4.85 g/cm³; formation energy without anion corrections = 1.001 eV per atom; space-group type = No. 123
1.0
5.524 0.000 0.000
0.000 5.524 0.000
0.000 0.000 5.619
I Na Mo Te
2 1 1 1
direct
0.000 0.500 0.000 I
0.500 0.000 0.000 I
0.000 0.000 0.000 Na
0.500 0.500 0.500 Mo
0.000 0.000 0.500 Te

=====

CuH2PbSO6 | the Alexandria database | GGA-PBEsol | optimized geometry; calculated total energy = -127.47 eV per cell; ρ = 5.43 g/cm³; space-group type = No. 11
1.0
-0.930 -4.526 0.087
3.146 -0.735 -4.602
7.989 0.506 5.380
Cu H Pb S O
2 4 2 2 12
direct
0.000 0.500 0.000 Cu
0.000 0.000 0.000 Cu
0.544 0.750 0.952 H
0.456 0.250 0.048 H
0.383 0.750 0.139 H
0.617 0.250 0.861 H
0.666 0.750 0.660 Pb
0.334 0.250 0.340 Pb
0.875 0.750 0.332 S
0.125 0.250 0.668 S
0.042 0.750 0.480 O
0.958 0.250 0.520 O
0.549 0.750 0.328 O
0.451 0.250 0.672 O
0.056 0.033 0.745 O
0.944 0.533 0.255 O
0.944 0.967 0.255 O
0.056 0.467 0.745 O
0.293 0.750 0.036 O
0.707 0.250 0.964 O
0.731 0.750 0.909 O
0.269 0.250 0.091 O

=====

ZrIrAu2 | the Alexandria database | GGA-PBEsol | optimized geometry; relative energy among the computed polymorphs = 319 meV/atom; ρ = 16.51 g/cm³; space-group type = No. 65
1.0
3.110 0.000 0.000
0.000 4.851 0.053
0.000 -1.824 4.495
Au Ir Zr
2 1 1
direct
0.000 0.500 0.000 Au
0.000 0.000 0.500 Au
0.500 0.000 0.000 Ir
0.500 0.500 0.500 Zr

=====

CoNi | the Alexandria database | GGA-PBEsol | optimized geometry; calculated total energy = -13.88 eV per cell; ρ = 9.42 g/cm³; space-group type = No. 166
1.0
2.443 0.000 0.000
1.221 2.116 0.000
1.221 0.705 4.013
Ni Co
1 1
direct
0.500 0.500 0.500 Ni
0.000 0.000 0.000 Co

=====

LiYCo2Ir | the Alexandria database | GGA-PBEsol | optimized geometry; calculated total energy = -32.15 eV per cell; ρ = 9.48 g/cm³; space-group type = No. 123
1.0
-0.238 0.481 4.029
3.225 -2.427 0.480
2.608 3.416 -0.254
Y Ir Co Li
1 1 2 1
direct
0.500 0.500 0.500 Y
0.000 0.000 0.500 Ir
0.000 0.500 0.000 Co
0.500 0.000 0.000 Co
0.000 0.000 0.000 Li

=====

BaNb2As2 | the Alexandria database | GGA-PBEsol | optimized geometry; calculated total energy = -37.74 eV per cell; ρ = 6.86 g/cm³; space-group type = No. 139
1.0
4.030 0.000 0.000
0.000 4.030 0.000
-2.015 -2.015 7.044
As Nb Ba
2 2 1
direct
0.373 0.373 0.745 As
0.627 0.627 0.255 As
0.250 0.750 0.500 Nb
0.750 0.250 0.500 Nb
0.000 0.000 0.000 Ba

=====

CaCu4Au | the Alexandria database | GGA-PBEsol | optimized geometry; calculated total energy = -24.60 eV per cell; ρ = 9.40 g/cm³; space-group type = No. 216
1.0
-2.411 -2.129 3.787
-4.197 -2.525 -0.832
-0.052 -4.948 0.445
Au Ca Cu
1 1 4
direct
0.750 0.750 0.750 Au
0.000 0.000 0.000 Ca
0.376 0.376 0.376 Cu
0.376 0.376 0.873 Cu
0.873 0.376 0.376 Cu
0.376 0.873 0.376 Cu

=====

CdFe2B | the Alexandria database | GGA-PBEsol | optimized geometry; calculated total energy = -23.00 eV per cell; ρ = 8.50 g/cm³; space-group type = No. 225
1.0
4.019 0.000 0.000
2.009 3.480 0.000
2.009 1.160 3.281
B Fe Cd
1 2 1
direct
0.000 0.000 0.000 B
0.250 0.250 0.250 Fe
0.750 0.750 0.750 Fe
0.500 0.500 0.500 Cd

=====

ZnRePb3 | the Alexandria database | GGA-PBEsol | optimized geometry; calculated total energy = -23.46 eV per cell; ρ = 9.86 g/cm³; space-group type = No. 221
1.0
-1.507 -4.243 -2.752
2.906 1.624 -4.095
4.140 -2.685 1.873
Pb Re Zn
3 1 1
direct
0.000 0.500 0.000 Pb
0.000 0.000 0.500 Pb
0.500 0.000 0.000 Pb
0.000 0.000 0.000 Re
0.500 0.500 0.500 Zn

=====

BaCrRh | the Alexandria database | GGA-PBEsol | optimized geometry; relative energy among the computed polymorphs = 0 meV/atom; ρ = 6.37 g/cm³; space-group type = No. 216
1.0
4.759 0.000 0.000
2.380 4.122 0.000
2.380 1.374 3.886
Ba Cr Rh
1 1 1
direct
0.000 0.000 0.000 Ba
0.500 0.500 0.500 Cr
0.250 0.250 0.250 Rh

=====

LiAl2 | the Alexandria database | GGA-PBEsol | optimized geometry; relative energy among the computed polymorphs = 32 meV/atom; ρ = 2.11 g/cm³; space-group type = No. 63
1.0
-1.526 -2.327 -1.048
-1.224 -1.069 4.157
-5.125 5.323 -0.139
Al Li
4 2
direct
0.778 0.750 0.557 Al
0.445 0.750 0.890 Al
0.222 0.250 0.443 Al
0.555 0.250 0.110 Al
0.109 0.750 0.217 Li
0.891 0.250 0.783 Li

=====

BaAl2Si2 | the Alexandria database | GGA-PBEsol | optimized geometry; ρ = 3.77 g/cm³; formation energy without anion corrections = -0.242 eV per atom; space-group type = No. 139
1.0
4.636 0.000 0.000
0.000 4.636 0.000
-2.318 -2.318 5.068
Si Ba Al
2 1 2
direct
0.250 0.750 0.500 Si
0.750 0.250 0.500 Si
0.000 0.000 0.000 Ba
0.367 0.367 0.734 Al
0.633 0.633 0.266 Al

=====

KMg4Fe | the Alexandria database | GGA-PBEsol | optimized geometry; calculated total energy = -13.51 eV per cell; ρ = 2.18 g/cm³; space-group type = No. 216
1.0
-2.898 5.068 -0.962
-5.556 0.643 1.930
-1.161 3.647 4.513
Fe K Mg
1 1 4
direct
0.750 0.750 0.750 Fe
0.000 0.000 0.000 K
0.377 0.377 0.377 Mg
0.377 0.377 0.870 Mg
0.870 0.377 0.377 Mg
0.377 0.870 0.377 Mg

=====

Li7Ni11O22 | the Alexandria database | GGA-PBEsol | optimized geometry; ρ = 4.83 g/cm³; formation energy without anion corrections = -1.151 eV per atom; space-group type = No. 2
1.0
-3.279 0.714 3.621
0.116 -8.473 0.651
7.212 4.451 4.468
Li Ni O
7 11 22
direct
0.773 0.590 0.045 Li
0.500 0.500 0.500 Li
0.227 0.410 0.955 Li
0.408 0.136 0.317 Li
0.867 0.955 0.226 Li
0.133 0.045 0.774 Li
0.592 0.864 0.683 Li
0.680 0.729 0.362 Ni
0.863 0.453 0.722 Ni
0.408 0.635 0.819 Ni
0.592 0.365 0.181 Ni
0.137 0.547 0.278 Ni
0.320 0.271 0.638 Ni
0.774 0.093 0.547 Ni
0.500 0.000 0.000 Ni
0.042 0.185 0.092 Ni
0.226 0.907 0.453 Ni
0.958 0.815 0.908 Ni
0.711 0.652 0.720 O
0.651 0.792 0.003 O
0.793 0.528 0.368 O
0.370 0.710 0.457 O
0.527 0.439 0.829 O
0.473 0.561 0.171 O
0.917 0.389 0.093 O
0.990 0.748 0.270 O
0.630 0.290 0.543 O
0.207 0.472 0.632 O
0.083 0.611 0.907 O
0.828 0.008 0.897 O
0.717 0.160 0.181 O
0.289 0.348 0.280 O
0.437 0.064 0.640 O
0.010 0.252 0.730 O
0.893 0.895 0.553 O
0.349 0.208 0.997 O
0.107 0.105 0.447 O
0.563 0.936 0.360 O
0.283 0.840 0.819 O
0.172 0.992 0.103 O

=====

BeSbSCl2 | the Alexandria database | GGA-PBEsol | optimized geometry; ρ = 2.84 g/cm³; formation energy without anion corrections = 0.366 eV per atom; space-group type = No. 123
1.0
5.108 0.000 0.000
0.000 5.173 0.000
0.000 0.000 5.173
Sb S Be Cl
1 1 1 2
direct
0.000 0.000 0.000 Sb
0.500 0.000 0.000 S
0.500 0.500 0.500 Be
0.000 0.000 0.500 Cl
0.000 0.500 0.000 Cl